Entry 1:
The following is a PBE-GGA calculation of crystalline Bi2As2I at its relaxed geometry, from Alexandria via LeMat-Bulk.

abc: 5.5389 5.5389 6.2529
angles: 63.71 63.71 90.00
Last column: nearest neighbours and their distance in Å.
Sites, in units of the cell vectors:
1 I 0.0000 0.0000 0.0000  2 As 3.62, 8 Bi 3.69
2 Bi 0.7500 0.2500 0.5000  4 As 3.01
3 As 0.6288 0.6288 0.7424  1 As 2.51
4 As 0.3712 0.3712 0.2576  1 As 2.51
5 Bi 0.2500 0.7500 0.5000  4 As 3.01

- total moment (μB/cell) = 0.00
- energy relative to the elements, uncorrected (meV per atom) = 17.8
- ρ (g cm⁻³) = 7.714
- polymorph energy (0 for the lowest one) (eV/atom) = 0.050

---

Entry 2:
The following is a PBE-GGA calculation of crystalline Ce4Y3Ir4 at its relaxed geometry, from Alexandria via LeMat-Bulk.

abc: 3.9814 9.0106 8.9797
angles: 120.11 102.81 90.00
Last column: nearest neighbours and their distance in Å.
Sites, in units of the cell vectors:
1 Ce 0.3329 0.5342 0.6658  3 Ir 2.70-2.76
2 Ce 0.6671 0.4658 0.3342  3 Ir 2.70-2.76
3 Y 0.8919 0.8919 0.7838  6 Ir 3.08-3.40, 1 Y 3.25
4 Y 0.1081 0.1081 0.2162  6 Ir 3.08-3.40, 1 Y 3.25
5 Ir 0.5000 0.8114 0.0000  2 Ce 2.70
6 Ir 0.2081 0.7081 0.4163  4 Ce 2.76
7 Y 0.0000 0.5000 0.0000  6 Ir 3.13-3.44
8 Ir 0.7919 0.2919 0.5837  4 Ce 2.76
9 Ir 0.5000 0.1886 0.0000  2 Ce 2.70
10 Ce 0.6671 0.8684 0.3342  3 Ir 2.70-2.76
11 Ce 0.3329 0.1316 0.6658  3 Ir 2.70-2.76

- total moment (μB/cell) = 2.09
- ρ (g cm⁻³) = 9.839
- formation energy from the elements (meV per atom) = -558

---

Entry 3:
The following is a PBE-GGA calculation of crystalline RbEu2Ge at its relaxed geometry, from Alexandria via LeMat-Bulk.

abc: 3.9087 3.9087 10.9414
angles: 90.00 90.00 90.00
Last column: nearest neighbours and their distance in Å.
Sites, in units of the cell vectors:
1 Ge 0.5000 0.5000 0.0000  8 Eu 3.21
2 Rb 0.5000 0.5000 0.5000  4 Rb 3.91
3 Eu 0.0000 0.0000 0.8514  4 Ge 3.21, 1 Eu 3.25
4 Eu 0.0000 0.0000 0.1486  4 Ge 3.21, 1 Eu 3.25

- total moment (μB/cell) = 14.33
- ρ (g cm⁻³) = 4.590
- formation energy from the elements (meV per atom) = -210

---

Entry 4:
The following is a PBE-GGA calculation of crystalline SrCuIr3 at its relaxed geometry, from Alexandria via LeMat-Bulk.

abc: 4.9618 4.9618 4.9618
angles: 90.00 90.00 90.00
Last column: nearest neighbours and their distance in Å.
Sites, in units of the cell vectors:
1 Ir 0.5000 0.0000 0.0000  2 Sr 2.48
2 Cu 0.5000 0.5000 0.5000  12 Ir 3.51
3 Sr 0.0000 0.0000 0.0000  6 Ir 2.48
4 Ir 0.0000 0.5000 0.0000  2 Sr 2.48
5 Ir 0.0000 0.0000 0.5000  2 Sr 2.48

- total moment (μB/cell) = 1.88
- ρ (g cm⁻³) = 9.894
- polymorph energy (0 for the lowest one) (eV/atom) = 1.981
- formation energy from the elements (meV per atom) = 2897

---

Entry 5:
The following is a PBE-GGA calculation of crystalline La2YCdFe at its relaxed geometry, from Alexandria via LeMat-Bulk.

abc: 5.1618 5.1618 5.4410
angles: 90.00 90.00 90.00
Last column: nearest neighbours and their distance in Å.
Sites, in units of the cell vectors:
1 Fe 0.0000 0.0000 0.0000  4 La 2.58, 2 Y 2.72
2 Cd 0.5000 0.5000 0.5000  4 Y 3.65, 8 La 3.75
3 Y 0.0000 0.0000 0.5000  2 Fe 2.72
4 La 0.5000 0.0000 0.0000  2 Fe 2.58
5 La 0.0000 0.5000 0.0000  2 Fe 2.58

- total moment (μB/cell) = 0.00
- ρ (g cm⁻³) = 6.128
- formation energy from the elements (meV per atom) = -61